The following is a GGA-PBE calculation of a relaxed structure of Ba2IrPtN2, from the Open Quantum Materials Database.

Structure (POSCAR):
```
Ba2IrPtN2
1.0
3.815 0.000 0.000
0.000 3.868 0.000
0.000 0.000 8.598
Ba Ir Pt N
2 1 1 2
Cartesian
0.000 0.000 2.122 Ba
0.000 0.000 6.475 Ba
1.907 1.934 0.000 Ir
1.907 1.934 4.299 Pt
0.000 1.934 0.000 N
1.907 0.000 4.299 N
```

Properties
Energy, eV/f.u.: -38.714
Size of the total moment, Bohr magnetons per cell: 0.00

---

The following is a GGA-PBE calculation of a relaxed structure of Ba2ZnIrN, from the Open Quantum Materials Database.

Structure (POSCAR):
```
Ba2ZnIrN
1.0
5.841 0.000 0.000
0.000 5.841 0.000
0.000 0.000 3.801
Ba Zn Ir N
2 1 1 1
Cartesian
0.000 2.920 0.000 Ba
2.920 0.000 0.000 Ba
0.000 0.000 1.900 Zn
2.920 2.920 1.900 Ir
2.920 2.920 0.000 N
```

Properties
Energy, eV/f.u.: -24.286
Size of the total moment, Bohr magnetons per cell: 0.00

---

The following is a GGA-PBE calculation of a relaxed structure of BaNaIr, from the Open Quantum Materials Database.

Structure (POSCAR):
```
BaNaIr
1.0
0.000 3.555 3.555
3.555 0.000 3.555
3.555 3.555 0.000
Ba Na Ir
1 1 1
Cartesian
0.000 0.000 0.000 Ba
3.555 3.555 3.555 Na
1.777 1.777 1.777 Ir
```

Properties
Energy, eV/f.u.: -11.395
Size of the total moment, Bohr magnetons per cell: 0.00

---

The following is a GGA-PBE calculation of a relaxed structure of BaNaIr, from the Open Quantum Materials Database.

Structure (POSCAR):
```
BaNaIr
1.0
0.000 3.545 3.545
3.545 0.000 3.545
3.545 3.545 0.000
Ba Na Ir
1 1 1
Cartesian
0.000 0.000 0.000 Ba
1.772 1.772 1.772 Na
5.317 5.317 5.317 Ir
```

Properties
Energy, eV/f.u.: -10.135
Size of the total moment, Bohr magnetons per cell: 0.00

---

The following is a GGA-PBE calculation of a relaxed structure of Ba3NaIr2O9, from the Open Quantum Materials Database.

Structure (POSCAR):
```
Ba3NaIr2O9
1.0
5.870 0.000 0.000
-2.935 5.084 0.000
0.000 0.000 14.436
Ba Na Ir O
6 2 4 18
Cartesian
0.000 0.000 3.609 Ba
0.000 0.000 10.827 Ba
0.000 3.389 1.211 Ba
0.000 3.389 6.007 Ba
2.935 1.695 8.429 Ba
2.935 1.695 13.225 Ba
0.000 0.000 0.000 Na
0.000 0.000 7.218 Na
0.000 3.389 9.556 Ir
0.000 3.389 12.098 Ir
2.935 1.695 2.338 Ir
2.935 1.695 4.880 Ir
-1.398 2.582 10.827 O
0.000 1.812 8.491 O
0.000 1.812 13.164 O
-1.366 4.178 8.491 O
-1.366 4.178 13.164 O
1.569 0.906 1.273 O
1.569 0.906 5.945 O
1.398 2.582 10.827 O
0.000 5.003 10.827 O
2.935 0.081 3.609 O
1.538 2.502 3.609 O
1.366 4.178 8.491 O
1.366 4.178 13.164 O
4.301 0.906 1.273 O
4.301 0.906 5.945 O
2.935 3.272 1.273 O
2.935 3.272 5.945 O
4.333 2.502 3.609 O
```

Properties
Energy, eV/f.u.: -95.379
Size of the total moment, Bohr magnetons per cell: 5.05

---

The following is a GGA-PBE calculation of a relaxed structure of Ba2NaIrS6, from the Open Quantum Materials Database.

Structure (POSCAR):
```
Ba2NaIrS6
1.0
0.000 4.944 4.944
4.944 0.000 4.944
4.944 4.944 0.000
Ba Na Ir S
2 1 1 6
Cartesian
2.472 2.472 2.472 Ba
7.416 7.416 7.416 Ba
0.000 0.000 0.000 Na
4.944 4.944 4.944 Ir
4.944 4.944 2.598 S
4.944 2.598 4.944 S
7.289 4.944 4.944 S
2.598 4.944 4.944 S
4.944 7.289 4.944 S
4.944 4.944 7.289 S
```

Properties
Energy, eV/f.u.: -47.002
Size of the total moment, Bohr magnetons per cell: 2.50

---

- Number 6 is which compound?
  Ba2NaIrS6